Here is an optimized crystal structure of VIn3O from the Alexandria database. Energies are from PBE+U.

Properties
total moment = 1.133 μB per atom
offset from the most stable computed form = 63.3 kJ/mol of atoms
symmetry = Pm-3m, No. 221

abc: 5.3438 5.3438 5.3438
angles: 90.00 90.00 90.00
Last column: nearest neighbours and their distance in Å.
Fractional coordinates of all 5 atoms:
V  0.0000  0.0000  0.0000  6 In 2.67
In  0.0000  0.0000  0.5000  2 V 2.67
In  0.0000  0.5000  0.0000  2 V 2.67
In  0.5000  0.0000  0.0000  2 V 2.67
O  0.5000  0.5000  0.5000  12 In 3.78